# 1
First-principles (GGA-PBE) data for crystalline TbNd8Tm4 at its relaxed geometry, as listed in Alexandria via LeMat-Bulk. Values from VASP.

Properties
DOS(E_F) (states/eV per cell): 13.5
Energy of formation from the pure elements (eV/f.u.): 2.5
Final energy (eV per atom): -4.473

Quantum ESPRESSO input file:
```
&SYSTEM
  ibrav = 0, nat = 13, ntyp = 3
/
ATOMIC_SPECIES
Tb 158.93 Tb.upf
Nd 144.24 Nd.upf
Tm 168.93 Tm.upf
CELL_PARAMETERS angstrom
6.3880 -0.0004 -3.4464
-4.1235 5.9734 -0.0005
1.4675 1.0138 10.3636
ATOMIC_POSITIONS angstrom
Tb -1.3280 3.4936 5.1815
Nd 0.9526 5.0676 1.7650
Nd 2.7794 1.9191 5.1517
Nd 2.5750 1.7777 1.2864
Nd 6.3134 1.9601 4.0586
Nd 1.1571 5.2091 5.6303
Nd 4.0707 5.2090 4.0583
Nd -0.3387 1.7778 2.8583
Nd -2.5814 5.0267 2.8581
Tm 0.0000 0.0000 0.0000
Tm -2.0617 2.9867 -0.0002
Tm 1.1323 2.9865 -1.7234
Tm 3.1940 -0.0002 -1.7232
```

---

# 2
First-principles (GGA-PBE) data for crystalline NdZn2InPt5 at its relaxed geometry, as listed in Alexandria via LeMat-Bulk. Values from VASP.

Properties
DOS(E_F) (states/eV per cell): 4.8
Energy of formation from the pure elements (eV/f.u.): -3.7
Final energy (eV per atom): -4.889

Quantum ESPRESSO input file:
```
&SYSTEM
  ibrav = 0, nat = 9, ntyp = 4
/
ATOMIC_SPECIES
Nd 144.24 Nd.upf
Zn 65.41 Zn.upf
In 114.82 In.upf
Pt 195.08 Pt.upf
CELL_PARAMETERS angstrom
-0.8425 -3.5915 -2.8059
3.2041 1.5626 -2.9621
5.4297 -4.1513 3.6833
ATOMIC_POSITIONS angstrom
Nd 2.7149 -2.0757 1.8417
Zn 2.0187 -1.6551 -2.3156
Zn 5.7726 -4.5251 0.2309
In 0.0000 0.0000 0.0000
Pt 2.9649 -0.2607 -0.5565
Pt 0.9416 -2.8377 -0.4784
Pt 5.6689 -2.3281 1.2778
Pt 3.6456 -4.9051 1.3559
Pt 3.8957 -3.0901 -1.0423
```

---

# 3
First-principles (GGA-PBE) data for crystalline Ag2Au2I7 at its relaxed geometry, as listed in Alexandria via LeMat-Bulk. Values from VASP.

Properties
Formation energy from raw total energies (meV/atom): -67
DOS(E_F) (states/eV per cell): 2.0
Final energy (eV per atom): -2.167

Quantum ESPRESSO input file:
```
&SYSTEM
  ibrav = 0, nat = 11, ntyp = 3
/
ATOMIC_SPECIES
Ag 107.87 Ag.upf
Au 196.97 Au.upf
I 126.90 I.upf
CELL_PARAMETERS angstrom
7.7180 0.2228 0.2546
-0.5136 8.2194 -2.1280
-0.5136 -3.2025 7.8633
ATOMIC_POSITIONS angstrom
Ag -0.5136 -0.3041 5.3279
Ag -0.5136 5.3210 0.4074
Au 1.3421 1.2136 1.3874
Au 5.3488 4.0261 4.6026
I 5.1303 5.8313 2.6484
I 1.5606 3.3905 -0.1418
I 1.5606 -0.5916 3.3415
I 5.1303 1.8492 6.1318
I 3.8590 0.1114 0.1273
I 0.4886 3.8424 4.3926
I 6.2023 1.3973 1.5974
```